# SrFe4B4

A relaxed structure of SrFe4B4 (PBE, Alexandria).

Summary:
The value obtained for the density of states at the Fermi level is 0.6359 states/eV per atom. The symmetry is No. 86. The value obtained for the formation enthalpy at 0 K is -0.26 eV per atom.

Cell: 3.8267 7.0962 7.0962 Å, 90.00 90.00 90.00°
Last column: nearest neighbours and their distance in Å.
Fractional positions:
Sr  0.0000  0.0000  0.0000  8 B 2.77-2.88, 4 Fe 2.91
Sr  0.5000  0.5000  0.5000  8 B 2.77-2.88, 4 Fe 2.91
Fe  0.3851  0.3703  0.8846  4 B 2.00-2.15
Fe  0.8851  0.6154  0.8703  4 B 2.00-2.15
Fe  0.3851  0.6297  0.1154  4 B 2.00-2.15
Fe  0.1149  0.1297  0.6154  4 B 2.00-2.15
Fe  0.6149  0.8846  0.6297  4 B 2.00-2.15
Fe  0.1149  0.8703  0.3846  4 B 2.00-2.15
Fe  0.8851  0.3846  0.1297  4 B 2.00-2.15
Fe  0.6149  0.1154  0.3703  4 B 2.00-2.15
B  0.6108  0.8326  0.3048  1 B 1.76
B  0.6108  0.1674  0.6952  1 B 1.76
B  0.1108  0.8048  0.6674  1 B 1.76
B  0.8892  0.3326  0.8048  1 B 1.76
B  0.8892  0.6674  0.1952  1 B 1.76
B  0.3892  0.3048  0.1674  1 B 1.76
B  0.3892  0.6952  0.8326  1 B 1.76
B  0.1108  0.1952  0.3326  1 B 1.76